Version w
Fe3SnF | GGA+U | optimized geometry

Summary:
size of the total moment: 9.895 Bohr magnetons per cell
crystal system: cubic
space group: No. 221

a = 4.345 Å, b = 4.345 Å, c = 4.345 Å
α = 90.00°, β = 90.00°, γ = 90.00°
Site moments in Bohr magnetons follow the coordinates.
Positions (direct):
F 0.000 0.000 0.000  0.03
Sn 0.500 0.500 0.500  -0.09
Fe 0.000 0.500 0.000  3.38
Fe 0.000 0.000 0.500  3.46
Fe 0.500 0.000 0.000  3.20

***

Version x
Fe3SnF | GGA+U | optimized geometry

Summary:
size of the total moment: 11.000 Bohr magnetons per cell
crystal system: cubic
space group: No. 221

a = 5.095 Å, b = 5.095 Å, c = 5.095 Å
α = 90.00°, β = 90.00°, γ = 90.00°
Site moments in Bohr magnetons follow the coordinates.
Positions (direct):
F 0.500 0.500 0.500  0.03
Sn 0.000 0.000 0.000  -0.07
Fe 0.000 0.500 0.000  3.57
Fe 0.000 0.000 0.500  3.62
Fe 0.500 0.000 0.000  3.52

***

Most stable pick: version w. Distance to second place: 0.498 eV/atom.

***

Version w
FeSnF2 | GGA+U | optimized geometry

Summary:
size of the total moment: 3.794 Bohr magnetons per cell
crystal system: cubic
space group: No. 225

a = 4.417 Å, b = 4.417 Å, c = 4.417 Å
α = 60.00°, β = 60.00°, γ = 60.00°
Site moments in Bohr magnetons follow the coordinates.
Positions (direct):
F 0.250 0.250 0.250  0.07
F 0.750 0.750 0.750  0.07
Sn 0.500 0.500 0.500  0.11
Fe 0.000 0.000 0.000  3.25

***

Version x
FeSnF2 | GGA+U | optimized geometry

Summary:
size of the total moment: 7.979 Bohr magnetons per cell
crystal system: tetragonal
space group: No. 122

a = 5.752 Å, b = 5.752 Å, c = 6.433 Å
α = 63.44°, β = 63.44°, γ = 90.00°
Site moments in Bohr magnetons follow the coordinates.
Positions (direct):
F 0.467 0.125 0.250  0.05
F 0.283 0.625 0.250  0.05
F 0.375 0.533 0.750  0.05
F 0.875 0.717 0.750  0.05
Sn 0.000 0.000 0.000  0.00
Sn 0.750 0.250 0.500  0.00
Fe 0.500 0.500 0.000  3.79
Fe 0.250 0.750 0.500  3.79

***

Version y
FeSnF2 | GGA+U | optimized geometry

Summary:
size of the total moment: 3.925 Bohr magnetons per cell
crystal system: trigonal
space group: No. 166

a = 8.938 Å, b = 8.938 Å, c = 8.938 Å
α = 20.55°, β = 20.55°, γ = 20.55°
Site moments in Bohr magnetons follow the coordinates.
Positions (direct):
F 0.873 0.873 0.873  0.06
F 0.127 0.127 0.127  0.06
Sn 0.000 0.000 0.000  0.01
Fe 0.500 0.500 0.500  3.77

***

Most stable pick: version y. Distance to second place: 0.076 eV/atom.

***

Version w
SrFeF2 | GGA+U | optimized geometry

Summary:
size of the total moment: 6.401 Bohr magnetons per cell
crystal system: tetragonal
space group: No. 122

a = 5.238 Å, b = 5.238 Å, c = 7.392 Å
α = 69.25°, β = 69.25°, γ = 90.00°
Site moments in Bohr magnetons follow the coordinates.
Positions (direct):
Sr 0.000 0.000 0.000  0.00
Sr 0.750 0.250 0.500  0.00
Fe 0.500 0.500 0.000  2.97
Fe 0.250 0.750 0.500  2.97
F 0.650 0.125 0.250  0.01
F 0.100 0.625 0.250  0.01
F 0.375 0.350 0.750  0.01
F 0.875 0.900 0.750  0.01

***

Version x
SrFeF2 | GGA+U | optimized geometry

Summary:
size of the total moment: 3.754 Bohr magnetons per cell
crystal system: cubic
space group: No. 225

a = 4.506 Å, b = 4.506 Å, c = 4.506 Å
α = 60.00°, β = 60.00°, γ = 60.00°
Site moments in Bohr magnetons follow the coordinates.
Positions (direct):
Sr 0.500 0.500 0.500  0.04
Fe 0.000 0.000 0.000  3.11
F 0.250 0.250 0.250  0.08
F 0.750 0.750 0.750  0.08

***

Version y
SrFeF2 | GGA+U | optimized geometry

Summary:
size of the total moment: 3.189 Bohr magnetons per cell
crystal system: trigonal
space group: No. 166

a = 6.812 Å, b = 6.812 Å, c = 6.812 Å
α = 33.55°, β = 33.55°, γ = 33.55°
Site moments in Bohr magnetons follow the coordinates.
Positions (direct):
Sr 0.500 0.500 0.500  -0.01
Fe 0.000 0.000 0.000  3.10
F 0.881 0.881 0.881  0.01
F 0.119 0.119 0.119  0.01

***

Most stable pick: version y. Distance to second place: 0.248 eV/atom.

***

Version w
SrFe2F | GGA+U | optimized geometry

Summary:
size of the total moment: 6.905 Bohr magnetons per cell
crystal system: cubic
space group: No. 225

a = 5.032 Å, b = 5.032 Å, c = 5.032 Å
α = 60.00°, β = 60.00°, γ = 60.00°
Site moments in Bohr magnetons follow the coordinates.
Positions (direct):
Sr 0.500 0.500 0.500  0.06
Fe 0.250 0.250 0.250  3.19
Fe 0.750 0.750 0.750  3.19
F 0.000 0.000 0.000  0.05

***

Version x
SrFe2F | GGA+U | optimized geometry

Summary:
size of the total moment: 15.623 Bohr magnetons per cell
crystal system: tetragonal
space group: No. 141

a = 6.732 Å, b = 6.732 Å, c = 6.832 Å
α = 60.49°, β = 60.49°, γ = 90.00°
Site moments in Bohr magnetons follow the coordinates.
Positions (direct):
Sr 0.000 0.000 0.000  0.00
Sr 0.750 0.250 0.500  0.00
Fe 0.375 0.125 0.250  3.71
Fe 0.375 0.625 0.250  3.70
Fe 0.375 0.625 0.750  3.70
Fe 0.875 0.625 0.750  3.74
F 0.500 0.500 0.000  0.13
F 0.250 0.750 0.500  0.13

***

Most stable pick: version x. Distance to second place: 0.460 eV/atom.

***

Version w
SrFe3F | GGA+U | optimized geometry

Summary:
size of the total moment: 9.736 Bohr magnetons per cell
crystal system: cubic
space group: No. 221

a = 4.611 Å, b = 4.611 Å, c = 4.611 Å
α = 90.00°, β = 90.00°, γ = 90.00°
Site moments in Bohr magnetons follow the coordinates.
Positions (direct):
Sr 0.500 0.500 0.500  -0.13
Fe 0.000 0.500 0.000  3.50
Fe 0.000 0.000 0.500  3.43
Fe 0.500 0.000 0.000  3.65
F 0.000 0.000 0.000  0.07

***

Version x
SrFe3F | GGA+U | optimized geometry

Summary:
size of the total moment: 12.194 Bohr magnetons per cell
crystal system: cubic
space group: No. 221

a = 6.365 Å, b = 6.365 Å, c = 6.365 Å
α = 90.00°, β = 90.00°, γ = 90.00°
Site moments in Bohr magnetons follow the coordinates.
Positions (direct):
Sr 0.000 0.000 0.000  0.00
Fe 0.000 0.500 0.000  -3.85
Fe 0.000 0.000 0.500  -3.86
Fe 0.500 0.000 0.000  -3.87
F 0.500 0.500 0.500  -0.02

***

Most stable pick: version w. Distance to second place: 0.858 eV/atom.

***

Version w
Ta2FeF | GGA+U | optimized geometry

Summary:
size of the total moment: 1.072 Bohr magnetons per cell
crystal system: cubic
space group: No. 225

a = 4.374 Å, b = 4.374 Å, c = 4.374 Å
α = 60.00°, β = 60.00°, γ = 60.00°
Site moments in Bohr magnetons follow the coordinates.
Positions (direct):
F 0.000 0.000 0.000  -0.05
Fe 0.500 0.500 0.500  2.55
Ta 0.250 0.250 0.250  -0.51
Ta 0.750 0.750 0.750  -0.51

***

Version x
Ta2FeF | GGA+U | optimized geometry

Summary:
size of the total moment: 0.000 Bohr magnetons per cell
crystal system: tetragonal
space group: No. 122

a = 4.573 Å, b = 4.573 Å, c = 7.066 Å
α = 71.12°, β = 71.12°, γ = 90.00°
Positions (direct):
F 0.500 0.500 0.000
F 0.250 0.750 0.500
Fe 0.000 0.000 0.000
Fe 0.750 0.250 0.500
Ta 0.601 0.125 0.250
Ta 0.149 0.625 0.250
Ta 0.375 0.399 0.750
Ta 0.875 0.851 0.750

***

Most stable pick: version w. Distance to second place: 0.615 eV/atom.

***

Version w
TaFeF2 | GGA+U | optimized geometry

Summary:
size of the total moment: 3.444 Bohr magnetons per cell
crystal system: trigonal
space group: No. 166

a = 7.726 Å, b = 7.726 Å, c = 7.726 Å
α = 21.33°, β = 21.33°, γ = 21.33°
Site moments in Bohr magnetons follow the coordinates.
Positions (direct):
F 0.907 0.907 0.907  0.01
F 0.093 0.093 0.093  0.01
Fe 0.500 0.500 0.500  3.37
Ta 0.000 0.000 0.000  0.06

***

Version x
TaFeF2 | GGA+U | optimized geometry

Summary:
size of the total moment: 6.018 Bohr magnetons per cell
crystal system: tetragonal
space group: No. 122

a = 5.128 Å, b = 5.128 Å, c = 5.892 Å
α = 64.20°, β = 64.20°, γ = 90.00°
Site moments in Bohr magnetons follow the coordinates.
Positions (direct):
F 0.589 0.125 0.250  0.00
F 0.161 0.625 0.250  0.00
F 0.375 0.411 0.750  0.00
F 0.875 0.839 0.750  0.00
Fe 0.500 0.500 0.000  3.65
Fe 0.250 0.750 0.500  3.65
Ta 0.000 0.000 0.000  -0.37
Ta 0.750 0.250 0.500  -0.37

***

Version y
TaFeF2 | GGA+U | optimized geometry

Summary:
size of the total moment: 2.595 Bohr magnetons per cell
crystal system: cubic
space group: No. 225

a = 4.173 Å, b = 4.173 Å, c = 4.173 Å
α = 60.00°, β = 60.00°, γ = 60.00°
Site moments in Bohr magnetons follow the coordinates.
Positions (direct):
F 0.250 0.250 0.250  0.03
F 0.750 0.750 0.750  0.03
Fe 0.000 0.000 0.000  3.17
Ta 0.500 0.500 0.500  -0.51

***

Most stable pick: version w. Distance to second place: 0.576 eV/atom.

***

Version w
Fe2TcF | GGA+U | optimized geometry

Summary:
size of the total moment: 12.968 Bohr magnetons per cell
crystal system: tetragonal
space group: No. 122

a = 6.171 Å, b = 6.171 Å, c = 5.417 Å
α = 55.28°, β = 55.28°, γ = 90.00°
Site moments in Bohr magnetons follow the coordinates.
Positions (direct):
F 0.500 0.500 0.000  0.06
F 0.250 0.750 0.500  0.06
Tc 0.000 0.000 0.000  -0.88
Tc 0.750 0.250 0.500  -0.88
Fe 0.566 0.125 0.250  3.68
Fe 0.184 0.625 0.250  3.69
Fe 0.375 0.434 0.750  3.67
Fe 0.875 0.816 0.750  3.71

***

Version x
Fe2TcF | GGA+U | optimized geometry

Summary:
size of the total moment: 6.007 Bohr magnetons per cell
crystal system: cubic
space group: No. 225

a = 4.338 Å, b = 4.338 Å, c = 4.338 Å
α = 60.00°, β = 60.00°, γ = 60.00°
Site moments in Bohr magnetons follow the coordinates.
Positions (direct):
F 0.000 0.000 0.000  -0.05
Tc 0.500 0.500 0.500  -1.06
Fe 0.250 0.250 0.250  3.75
Fe 0.750 0.750 0.750  3.75

***

Most stable pick: version w. Distance to second place: 0.508 eV/atom.

***

Version w
FeTcF2 | GGA+U | optimized geometry

Summary:
size of the total moment: 7.495 Bohr magnetons per cell
crystal system: cubic
space group: No. 225

a = 4.221 Å, b = 4.221 Å, c = 4.221 Å
α = 60.00°, β = 60.00°, γ = 60.00°
Site moments in Bohr magnetons follow the coordinates.
Positions (direct):
F 0.250 0.250 0.250  0.11
F 0.750 0.750 0.750  0.11
Tc 0.500 0.500 0.500  3.44
Fe 0.000 0.000 0.000  3.33

***

Version x
FeTcF2 | GGA+U | optimized geometry

Summary:
size of the total moment: 3.342 Bohr magnetons per cell
crystal system: trigonal
space group: No. 166

a = 8.076 Å, b = 8.076 Å, c = 8.076 Å
α = 19.09°, β = 19.09°, γ = 19.09°
Site moments in Bohr magnetons follow the coordinates.
Positions (direct):
F 0.919 0.919 0.919  -0.01
F 0.081 0.081 0.081  -0.01
Tc 0.500 0.500 0.500  -0.02
Fe 0.000 0.000 0.000  -3.40

***

Version y
FeTcF2 | GGA+U | optimized geometry

Summary:
size of the total moment: 3.360 Bohr magnetons per cell
crystal system: trigonal
space group: No. 166

a = 7.624 Å, b = 7.624 Å, c = 7.624 Å
α = 20.42°, β = 20.42°, γ = 20.42°
Site moments in Bohr magnetons follow the coordinates.
Positions (direct):
F 0.906 0.906 0.906  0.02
F 0.094 0.094 0.094  0.02
Tc 0.000 0.000 0.000  0.01
Fe 0.500 0.500 0.500  3.39

***

Version z
FeTcF2 | GGA+U | optimized geometry

Summary:
size of the total moment: 15.743 Bohr magnetons per cell
crystal system: tetragonal
space group: No. 122

a = 5.101 Å, b = 5.101 Å, c = 6.490 Å
α = 66.86°, β = 66.86°, γ = 90.00°
Site moments in Bohr magnetons follow the coordinates.
Positions (direct):
F 0.538 0.125 0.250  0.08
F 0.212 0.625 0.250  0.08
F 0.375 0.462 0.750  0.08
F 0.875 0.788 0.750  0.08
Tc 0.000 0.000 0.000  3.50
Tc 0.750 0.250 0.500  3.50
Fe 0.500 0.500 0.000  3.76
Fe 0.250 0.750 0.500  3.76

***

Most stable pick: version y. Distance to second place: 0.316 eV/atom.

***

Version w
FeTeF2 | GGA+U | optimized geometry

Summary:
size of the total moment: 3.611 Bohr magnetons per cell
crystal system: trigonal
space group: No. 166

a = 9.654 Å, b = 9.654 Å, c = 9.654 Å
α = 18.61°, β = 18.61°, γ = 18.61°
Site moments in Bohr magnetons follow the coordinates.
Positions (direct):
Te 0.500 0.500 0.500  -0.08
Fe 0.000 0.000 0.000  3.73
F 0.938 0.938 0.938  0.07
F 0.062 0.062 0.062  0.07

***

Version x
FeTeF2 | GGA+U | optimized geometry

Summary:
size of the total moment: 3.438 Bohr magnetons per cell
crystal system: cubic
space group: No. 225

a = 4.426 Å, b = 4.426 Å, c = 4.426 Å
α = 60.00°, β = 60.00°, γ = 60.00°
Site moments in Bohr magnetons follow the coordinates.
Positions (direct):
Te 0.500 0.500 0.500  -0.04
Fe 0.000 0.000 0.000  3.43
F 0.250 0.250 0.250  0.00
F 0.750 0.750 0.750  0.00

***

Most stable pick: version w. Distance to second place: 0.360 eV/atom.

***

Version w
FeTe3F | GGA+U | optimized geometry

Summary:
size of the total moment: 3.452 Bohr magnetons per cell
crystal system: cubic
space group: No. 221

a = 4.941 Å, b = 4.941 Å, c = 4.941 Å
α = 90.00°, β = 90.00°, γ = 90.00°
Site moments in Bohr magnetons follow the coordinates.
Positions (direct):
Te 0.000 0.500 0.000  0.03
Te 0.000 0.000 0.500  0.02
Te 0.500 0.000 0.000  0.01
Fe 0.500 0.500 0.500  3.23
F 0.000 0.000 0.000  0.01

***

Version x
FeTe3F | GGA+U | optimized geometry

Summary:
size of the total moment: 3.186 Bohr magnetons per cell
crystal system: cubic
space group: No. 221

a = 5.108 Å, b = 5.108 Å, c = 5.108 Å
α = 90.00°, β = 90.00°, γ = 90.00°
Site moments in Bohr magnetons follow the coordinates.
Positions (direct):
Te 0.000 0.500 0.000  0.00
Te 0.000 0.000 0.500  -0.01
Te 0.500 0.000 0.000  0.01
Fe 0.000 0.000 0.000  3.13
F 0.500 0.500 0.500  -0.04

***

Most stable pick: version x. Distance to second place: 0.053 eV/atom.